GGA-PBE ZrNiW, relaxed; D(E_F) = 3.672 states/eV/cell; mass density = 11.2 g/cm³; total DFT energy (no corrections) = -8.79 eV/atom; polymorph energy (0 for the lowest one) = 356 meV/atom; formation energy from the elements = 0.30 eV per atom; calculated volume = 16.51 Å³ per atom; space-group type = P3m1; M_tot = 0.00 Bohr magnetons per cell
1.0
2.8609 0.0000 0.0000
-1.4304 2.4776 0.0000
0.0000 0.0000 6.9871
Zr Ni W
1 1 1
Direct
0.0000 0.0000 0.0000
0.3333 0.6667 0.3338
0.6667 0.3333 0.6219